No. 1
# FeMoAs3 (PBEsol, optimized geometry)
data_FeMoAs3
_cell_length_a 4.797
_cell_length_b 4.797
_cell_length_c 4.797
_cell_angle_alpha 90.00
_cell_angle_beta 90.00
_cell_angle_gamma 90.00
_symmetry_space_group_name_H-M 'P 1'
_symmetry_Int_Tables_number 1
loop_
_symmetry_equiv_pos_as_xyz
'x,y,z'
loop_
_atom_site_label
_atom_site_fract_x
_atom_site_fract_y
_atom_site_fract_z
Mo1 0.000 0.000 0.000
As1 0.000 0.500 0.000
As2 0.000 0.000 0.500
As3 0.500 0.000 0.000
Fe1 0.500 0.500 0.500
# - Mass density: 5.66 g/cm3
# - Magnetization: 3.25 μB/cell
# - Symmetry: Pm-3m, No. 221
# - Total DFT energy (no corrections): -31.1 eV/cell

No. 2
# FeMoAs2Se (PBEsol, optimized geometry)
data_FeMoAs2Se
_cell_length_a 4.810
_cell_length_b 4.810
_cell_length_c 4.831
_cell_angle_alpha 90.00
_cell_angle_beta 90.00
_cell_angle_gamma 90.00
_symmetry_space_group_name_H-M 'P 1'
_symmetry_Int_Tables_number 1
loop_
_symmetry_equiv_pos_as_xyz
'x,y,z'
loop_
_atom_site_label
_atom_site_fract_x
_atom_site_fract_y
_atom_site_fract_z
Mo1 0.000 0.000 0.000
As1 0.000 0.500 0.000
As2 0.500 0.000 0.000
Se1 0.000 0.000 0.500
Fe1 0.500 0.500 0.500
# - Mass density: 5.65 g/cm3
# - Energy relative to the elements, uncorrected: 930 meV per atom
# - Magnetization: 3.60 μB/cell
# - Symmetry: P4/mmm, No. 123

No. 3
# FeAsN2O (PBEsol, optimized geometry)
data_FeAsN2O
_cell_length_a 3.542
_cell_length_b 3.725
_cell_length_c 3.725
_cell_angle_alpha 90.00
_cell_angle_beta 90.00
_cell_angle_gamma 90.00
_symmetry_space_group_name_H-M 'P 1'
_symmetry_Int_Tables_number 1
loop_
_symmetry_equiv_pos_as_xyz
'x,y,z'
loop_
_atom_site_label
_atom_site_fract_x
_atom_site_fract_y
_atom_site_fract_z
As1 0.500 0.500 0.500
Fe1 0.000 0.000 0.000
O1 0.500 0.000 0.000
N1 0.000 0.000 0.500
N2 0.000 0.500 0.000
# - Mass density: 5.91 g/cm3
# - Energy relative to the elements, uncorrected: 579 meV per atom
# - Magnetization: 2.12 μB/cell
# - Symmetry: P4/mmm, No. 123

No. 4
# NaSr2Fe6As6 (PBEsol, optimized geometry)
data_NaSr2Fe6As6
_cell_length_a 5.519
_cell_length_b 6.227
_cell_length_c 8.326
_cell_angle_alpha 107.96
_cell_angle_beta 109.36
_cell_angle_gamma 90.00
_symmetry_space_group_name_H-M 'P 1'
_symmetry_Int_Tables_number 1
loop_
_symmetry_equiv_pos_as_xyz
'x,y,z'
loop_
_atom_site_label
_atom_site_fract_x
_atom_site_fract_y
_atom_site_fract_z
Na1 0.000 0.000 0.000
Sr1 0.664 0.328 0.329
Sr2 0.336 0.672 0.671
Fe1 0.584 0.169 0.667
Fe2 0.917 0.831 0.333
Fe3 0.249 0.500 0.000
Fe4 0.751 0.500 0.000
Fe5 0.083 0.169 0.667
Fe6 0.416 0.831 0.333
As1 0.882 0.477 0.764
As2 0.215 0.140 0.429
As3 0.548 0.808 0.097
As4 0.452 0.192 0.903
As5 0.785 0.860 0.571
As6 0.118 0.523 0.236
# - Mass density: 6.40 g/cm3
# - Magnetization: 0.00 μB/cell
# - Symmetry: C2/m, No. 12
# - Total DFT energy (no corrections): -96.7 eV/cell

No. 5
# Nb3FeAs (PBEsol, optimized geometry)
data_Nb3FeAs
_cell_length_a 4.534
_cell_length_b 4.534
_cell_length_c 4.534
_cell_angle_alpha 90.00
_cell_angle_beta 90.00
_cell_angle_gamma 90.00
_symmetry_space_group_name_H-M 'P 1'
_symmetry_Int_Tables_number 1
loop_
_symmetry_equiv_pos_as_xyz
'x,y,z'
loop_
_atom_site_label
_atom_site_fract_x
_atom_site_fract_y
_atom_site_fract_z
Nb1 0.000 0.500 0.000
Nb2 0.000 0.000 0.500
Nb3 0.500 0.000 0.000
As1 0.500 0.500 0.500
Fe1 0.000 0.000 0.000
# - Mass density: 7.30 g/cm3
# - Magnetization: 0.00 μB/cell
# - Symmetry: Pm-3m, No. 221
# - Total DFT energy (no corrections): -43.4 eV/cell

No. 6
# NbFeAs2Se (PBEsol, optimized geometry)
data_NbFeAs2Se
_cell_length_a 4.910
_cell_length_b 4.945
_cell_length_c 4.945
_cell_angle_alpha 90.00
_cell_angle_beta 90.00
_cell_angle_gamma 90.00
_symmetry_space_group_name_H-M 'P 1'
_symmetry_Int_Tables_number 1
loop_
_symmetry_equiv_pos_as_xyz
'x,y,z'
loop_
_atom_site_label
_atom_site_fract_x
_atom_site_fract_y
_atom_site_fract_z
Nb1 0.000 0.000 0.000
As1 0.000 0.000 0.500
As2 0.000 0.500 0.000
Se1 0.500 0.000 0.000
Fe1 0.500 0.500 0.500
# - Mass density: 5.22 g/cm3
# - Energy relative to the elements, uncorrected: 787 meV per atom
# - Magnetization: 3.63 μB/cell
# - Symmetry: P4/mmm, No. 123

No. 7
# FeNiAs2 (PBEsol, optimized geometry)
data_FeNiAs2
_cell_length_a 2.977
_cell_length_b 2.977
_cell_length_c 5.798
_cell_angle_alpha 90.08
_cell_angle_beta 90.00
_cell_angle_gamma 90.00
_symmetry_space_group_name_H-M 'P 1'
_symmetry_Int_Tables_number 1
loop_
_symmetry_equiv_pos_as_xyz
'x,y,z'
loop_
_atom_site_label
_atom_site_fract_x
_atom_site_fract_y
_atom_site_fract_z
As1 0.000 0.001 0.743
As2 0.000 0.999 0.257
Fe1 0.500 0.500 0.500
Ni1 0.500 0.500 0.000
# - Mass density: 8.54 g/cm3
# - Excess energy over the best structure of this formula in the dataset: 139.3 meV per atom
# - Magnetization: 1.30 μB/cell
# - Symmetry: P2/m, No. 10

No. 8
# FeNiAs (PBEsol, optimized geometry)
data_FeNiAs
_cell_length_a 2.746
_cell_length_b 3.885
_cell_length_c 3.885
_cell_angle_alpha 120.00
_cell_angle_beta 90.00
_cell_angle_gamma 90.00
_symmetry_space_group_name_H-M 'P 1'
_symmetry_Int_Tables_number 1
loop_
_symmetry_equiv_pos_as_xyz
'x,y,z'
loop_
_atom_site_label
_atom_site_fract_x
_atom_site_fract_y
_atom_site_fract_z
As1 0.017 0.000 0.000
Fe1 0.739 0.333 0.667
Ni1 0.244 0.667 0.333
# - Mass density: 8.77 g/cm3
# - Magnetization: 1.70 μB/cell
# - Symmetry: P3m1, No. 156
# - Total DFT energy (no corrections): -20.3 eV/cell

No. 9
# FeNiAs (PBEsol, optimized geometry)
data_FeNiAs
_cell_length_a 3.490
_cell_length_b 5.943
_cell_length_c 5.943
_cell_angle_alpha 120.00
_cell_angle_beta 90.00
_cell_angle_gamma 90.00
_symmetry_space_group_name_H-M 'P 1'
_symmetry_Int_Tables_number 1
loop_
_symmetry_equiv_pos_as_xyz
'x,y,z'
loop_
_atom_site_label
_atom_site_fract_x
_atom_site_fract_y
_atom_site_fract_z
As1 0.000 0.667 0.333
As2 0.000 0.333 0.667
As3 0.500 0.000 0.000
Fe1 0.500 0.405 0.405
Fe2 0.500 0.000 0.595
Fe3 0.500 0.595 0.000
Ni1 0.000 0.745 0.745
Ni2 0.000 0.000 0.255
Ni3 0.000 0.255 0.000
# - Mass density: 8.84 g/cm3
# - Magnetization: 4.00 μB/cell
# - Symmetry: P-62m, No. 189
# - Total DFT energy (no corrections): -62.3 eV/cell

No. 10
# Fe3NiAs4 (PBEsol, optimized geometry)
data_Fe3NiAs4
_cell_length_a 3.420
_cell_length_b 5.197
_cell_length_c 5.824
_cell_angle_alpha 90.26
_cell_angle_beta 90.00
_cell_angle_gamma 90.00
_symmetry_space_group_name_H-M 'P 1'
_symmetry_Int_Tables_number 1
loop_
_symmetry_equiv_pos_as_xyz
'x,y,z'
loop_
_atom_site_label
_atom_site_fract_x
_atom_site_fract_y
_atom_site_fract_z
Fe1 0.500 0.000 0.199
Fe2 0.000 0.503 0.705
Fe3 0.000 0.004 0.800
Ni1 0.500 0.497 0.302
As1 0.500 0.294 0.907
As2 0.500 0.805 0.588
As3 0.000 0.707 0.081
As4 0.000 0.191 0.419
# - Mass density: 8.44 g/cm3
# - Magnetization: 0.00 μB/cell
# - Symmetry: Pm, No. 6
# - Total DFT energy (no corrections): -56.1 eV/cell

No. 11
# FeNiAs2 (PBEsol, optimized geometry)
data_FeNiAs2
_cell_length_a 3.285
_cell_length_b 3.285
_cell_length_c 4.810
_cell_angle_alpha 90.00
_cell_angle_beta 90.00
_cell_angle_gamma 90.00
_symmetry_space_group_name_H-M 'P 1'
_symmetry_Int_Tables_number 1
loop_
_symmetry_equiv_pos_as_xyz
'x,y,z'
loop_
_atom_site_label
_atom_site_fract_x
_atom_site_fract_y
_atom_site_fract_z
As1 0.000 0.000 0.937
As2 0.500 0.500 0.310
Fe1 0.000 0.000 0.457
Ni1 0.500 0.500 0.796
# - Mass density: 8.46 g/cm3
# - Excess energy over the best structure of this formula in the dataset: 0.0 meV per atom
# - Magnetization: 0.20 μB/cell
# - Symmetry: P4mm, No. 99

No. 12
# FeNiAs2 (PBEsol, optimized geometry)
data_FeNiAs2
_cell_length_a 3.125
_cell_length_b 4.171
_cell_length_c 4.432
_cell_angle_alpha 101.28
_cell_angle_beta 110.64
_cell_angle_gamma 90.00
_symmetry_space_group_name_H-M 'P 1'
_symmetry_Int_Tables_number 1
loop_
_symmetry_equiv_pos_as_xyz
'x,y,z'
loop_
_atom_site_label
_atom_site_fract_x
_atom_site_fract_y
_atom_site_fract_z
As1 0.999 0.919 0.999
As2 0.755 0.340 0.509
Fe1 0.477 0.426 0.955
Ni1 0.269 0.814 0.537
# - Mass density: 8.30 g/cm3
# - Excess energy over the best structure of this formula in the dataset: 50.3 meV per atom
# - Magnetization: 1.47 μB/cell
# - Symmetry: Cm, No. 8

Question: Among the records above, which one has the highest magnetization?
Answer: number 9

Copy entry 7 word for word.
# FeNiAs2 (PBEsol, optimized geometry)
data_FeNiAs2
_cell_length_a 2.977
_cell_length_b 2.977
_cell_length_c 5.798
_cell_angle_alpha 90.08
_cell_angle_beta 90.00
_cell_angle_gamma 90.00
_symmetry_space_group_name_H-M 'P 1'
_symmetry_Int_Tables_number 1
loop_
_symmetry_equiv_pos_as_xyz
'x,y,z'
loop_
_atom_site_label
_atom_site_fract_x
_atom_site_fract_y
_atom_site_fract_z
As1 0.000 0.001 0.743
As2 0.000 0.999 0.257
Fe1 0.500 0.500 0.500
Ni1 0.500 0.500 0.000
# - Mass density: 8.54 g/cm3
# - Excess energy over the best structure of this formula in the dataset: 139.3 meV per atom
# - Magnetization: 1.30 μB/cell
# - Symmetry: P2/m, No. 10